Entry from Alexandria: crystalline MgAl2H at its relaxed geometry (PBE-GGA).

Values from the calculation:
- Crystal system: cubic
- Relative energy among the computed polymorphs: 25.58 kJ/mol of atoms

Cell lengths 6.421, 6.421, 6.421 Å; angles 90.00, 90.00, 90.00 degrees
Fractional positions:
Mg 0.000 0.000 0.000
Mg 0.000 0.500 0.500
Mg 0.500 0.000 0.500
Mg 0.500 0.500 0.000
Al 0.250 0.250 0.250
Al 0.250 0.250 0.750
Al 0.250 0.750 0.250
Al 0.250 0.750 0.750
Al 0.750 0.250 0.250
Al 0.750 0.250 0.750
Al 0.750 0.750 0.250
Al 0.750 0.750 0.750
H 0.000 0.000 0.500
H 0.000 0.500 0.000
H 0.500 0.000 0.000
H 0.500 0.500 0.500

=====

Entry from Alexandria: crystalline La3Dy6ErTh2 at its relaxed geometry (PBE-GGA).

Values from the calculation:
- Crystal system: monoclinic
- Formation energy: 0.0185 eV/atom

Cell lengths 6.227, 6.227, 11.857 Å; angles 95.03, 95.03, 119.98 degrees
Fractional positions:
La 0.000 0.000 0.000
La 0.334 0.666 0.000
La 0.666 0.334 0.000
Dy 0.082 0.419 0.257
Dy 0.244 0.244 0.743
Dy 0.419 0.082 0.257
Dy 0.581 0.918 0.743
Dy 0.756 0.756 0.257
Dy 0.918 0.581 0.743
Er 0.500 0.500 0.500
Th 0.167 0.833 0.500
Th 0.833 0.167 0.500

=====

Entry from Alexandria: crystalline Rb2ScRhBr6 at its relaxed geometry (PBE-GGA).

Values from the calculation:
- Crystal system: tetragonal
- Uncorrected formation energy: -1.272 eV per atom

Cell lengths 7.639, 7.639, 7.639 Å; angles 120.07, 120.07, 89.87 degrees
Fractional positions:
Rb 0.250 0.750 0.500
Rb 0.750 0.250 0.500
Sc 0.000 0.000 0.000
Rh 0.500 0.500 0.000
Br 0.247 0.247 0.000
Br 0.248 0.248 0.495
Br 0.248 0.752 0.000
Br 0.752 0.248 0.000
Br 0.752 0.752 0.505
Br 0.753 0.753 0.000

=====

Number 1: total magnetic moment 0.0 μB per formula unit, total energy -2.516 eV/atom. Number 2: total magnetic moment 0.0 μB per formula unit, total energy -5.131 eV/atom. Number 3: total magnetic moment 2.0 μB per formula unit, total energy -3.837 eV/atom.